Ca3TaTl3Se8 | Alexandria via LeMat-Bulk | GGA-PBE | optimized geometry; formation energy (no corrections) = -1.04 eV/atom
1.0
-5.6313 2.6976 -5.6759
0.3739 -8.1875 2.0109
-3.1295 5.6278 5.7793
Ca Se Tl Ta
3 8 3 1
Cartesian
-4.3804 4.1627 0.0517
-1.3778 -1.2799 3.8951
-4.1934 0.0689 1.0571
-6.2409 2.1169 0.9255
-5.1051 -0.9061 -1.6378
-3.0706 -3.5614 4.8817
-2.1460 -1.9790 1.1888
-5.3163 3.6993 -2.7674
-3.2817 1.0439 3.7521
-6.2373 -2.0443 1.6899
-2.1495 2.1822 0.4244
-2.6287 -2.7450 -1.8325
0.0000 0.0000 0.0000
0.1870 -4.0938 1.0054
-1.5647 2.8139 2.8897

Ca2TaTl3Se6 | Alexandria via LeMat-Bulk | GGA-PBE | optimized geometry; formation energy (no corrections) = -1.02 eV/atom
1.0
-2.9611 6.0308 2.5012
-2.1105 -6.3353 2.6086
7.0137 0.5144 3.6760
Se Ca Ta Tl
6 2 1 3
Cartesian
1.5108 2.0098 6.9367
0.1786 1.8737 1.8173
1.7634 -1.6638 6.9686
4.3965 0.3378 4.0758
-2.4545 -0.1279 4.7100
0.4313 -1.7999 1.8492
-2.6769 1.8987 2.5371
-2.3948 -2.2031 2.5727
0.0000 0.0000 0.0000
0.6906 4.1818 4.3575
1.2514 -3.9719 4.4283
0.9710 0.1049 4.3929

CaTb2Se4 | Alexandria via LeMat-Bulk | GGA-PBE | optimized geometry; E above lowest polymorph = 0.000 eV per atom; formation energy (no corrections) = -1.90 eV/atom
1.0
4.0795 0.0000 0.0000
-2.0397 6.7404 0.0000
0.0000 0.0000 14.0283
Tb Se Ca
4 8 2
Cartesian
2.0397 4.9317 13.0303
0.0000 1.8087 6.0161
2.0397 4.9317 8.0122
0.0000 1.8087 0.9980
0.0000 3.0479 12.3612
2.0397 3.6926 1.6671
2.0397 3.6926 5.3471
0.0000 3.0479 8.6813
2.0397 0.0000 0.0000
2.0397 0.0000 7.0142
0.0000 0.5366 3.5071
2.0397 6.2039 10.5213
0.0000 5.2095 3.5071
2.0397 1.5309 10.5213

CaTbSe2 | Alexandria via LeMat-Bulk | GGA-PBE | optimized geometry; E above lowest polymorph = 0.000 eV per atom; formation energy (no corrections) = -1.88 eV/atom
1.0
4.1136 0.0000 0.0000
2.0568 3.5625 0.0000
2.0568 1.1875 6.8630
Se Ca Tb
2 1 1
Cartesian
6.1704 3.5625 5.1671
2.0568 1.1875 1.6959
4.1136 2.3750 3.4315
0.0000 0.0000 0.0000

CaTbSe2 | Alexandria via LeMat-Bulk | GGA-PBE | optimized geometry; E above lowest polymorph = 0.044 eV per atom; formation energy (no corrections) = -1.84 eV/atom
1.0
4.0807 0.0000 0.0000
-2.0403 3.5340 0.0000
0.0000 0.0000 14.0917
Se Tb Ca
4 2 2
Cartesian
2.0403 1.1780 8.7454
2.0403 1.1780 12.3922
0.0000 2.3560 1.6995
0.0000 2.3560 5.3464
0.0000 0.0000 7.0459
0.0000 0.0000 0.0000
0.0000 2.3560 10.5688
2.0403 1.1780 3.5229

CaTb4Se5 | Alexandria via LeMat-Bulk | GGA-PBE | optimized geometry; formation energy (no corrections) = -1.82 eV/atom
1.0
-2.5755 -0.9285 3.0407
-0.2175 -7.1393 0.3886
5.6782 -2.1814 6.8963
Ca Tb Se
1 4 5
Cartesian
0.0000 0.0000 0.0000
2.2850 -6.7682 8.1272
0.6002 -3.4809 2.1983
1.0878 -6.9026 4.3194
1.7973 -3.3465 6.0062
-1.1518 -5.7396 2.7775
3.2655 -8.1769 5.7748
-0.3803 -2.0722 4.5508
4.0370 -4.5095 7.5481
2.7303 -4.6603 3.6424

Ca2TbSe3 | Alexandria via LeMat-Bulk | GGA-PBE | optimized geometry; E above lowest polymorph = 0.004 eV per atom; formation energy (no corrections) = -1.92 eV/atom
1.0
4.1491 0.0000 0.0000
0.0000 5.8857 0.0000
-2.0746 -2.9429 6.2585
Se Ca Tb
3 2 1
Cartesian
-1.0373 1.4714 5.1795
3.1118 1.4714 1.0789
1.0373 -1.4714 3.1292
-1.0373 -1.4714 5.2322
3.1119 4.4143 1.0262
1.0373 1.4714 3.1292

Ca4TbSe5 | Alexandria via LeMat-Bulk | GGA-PBE | optimized geometry; E above lowest polymorph = 0.000 eV per atom; formation energy (no corrections) = -1.97 eV/atom
1.0
4.1750 0.0000 0.0000
0.0000 4.1750 0.0000
-2.0875 -2.0875 14.8305
Se Ca Tb
5 4 1
Cartesian
2.0875 2.0875 5.9209
0.0000 0.0000 2.9196
0.0000 0.0000 8.9096
2.0875 2.0875 11.9109
2.0875 2.0875 0.0000
0.0000 0.0000 5.9249
2.0875 2.0875 8.9056
2.0875 2.0875 2.9513
0.0000 0.0000 11.8792
0.0000 0.0000 0.0000

Ca3Tb5Se8 | Alexandria via LeMat-Bulk | GGA-PBE | optimized geometry; formation energy (no corrections) = -1.85 eV/atom
1.0
7.1406 0.0000 4.0902
2.3989 6.7256 4.0902
-0.0009 -0.0007 8.2797
Tb Ca Se
5 3 8
Cartesian
3.5703 0.0000 2.0451
4.7693 3.3625 8.2300
4.7697 3.3628 4.0902
1.1994 3.3628 2.0451
0.0000 0.0000 0.0000
1.1990 3.3625 6.1850
-0.0005 -0.0003 4.1399
3.5698 -0.0003 6.1850
7.1447 5.0372 12.3612
5.9572 1.6865 6.1561
3.5898 5.0444 6.1561
3.5813 5.0384 10.3040
2.3836 1.6805 8.2619
5.9487 1.6805 10.3040
7.1549 5.0444 8.1982
2.3939 1.6878 4.0988

CaTb2Se3 | Alexandria via LeMat-Bulk | GGA-PBE | optimized geometry; formation energy (no corrections) = -1.84 eV/atom
1.0
-0.7701 -4.0098 -0.3412
3.5065 -0.2790 -4.6360
3.4630 0.8992 6.2177
Se Ca Tb
3 1 2
Cartesian
5.0970 -0.1054 2.0353
1.1024 -3.2842 -0.7948
1.3464 -1.5553 2.9383
3.0997 -1.6948 0.6203
3.3330 0.0369 4.3450
2.8664 -3.4264 -3.1045

CaTb2Se4 | Alexandria via LeMat-Bulk | GGA-PBE | optimized geometry; E above lowest polymorph = 0.011 eV per atom; formation energy (no corrections) = -1.89 eV/atom
1.0
-4.4348 -3.1686 5.3164
-0.6947 -3.8542 -6.5295
7.2475 -0.2056 2.3244
Se Tb Ca
8 4 2
Cartesian
4.9570 -1.9721 1.7890
0.5472 -5.6123 3.0019
1.5634 -3.9384 -4.2577
-0.5205 -2.0003 2.4485
1.9020 -2.0135 -0.9908
-3.1702 -4.8590 -1.5774
0.4525 -4.9535 -0.4111
2.7406 -3.5647 4.4431
3.1724 -4.7197 -1.9813
-0.6309 -3.2184 -2.4598
-0.3513 -3.3523 5.0028
2.0457 -3.1664 1.6610
0.0000 0.0000 0.0000
-1.8616 -4.3550 1.3037

Ca4TbSe5 | Alexandria via LeMat-Bulk | GGA-PBE | optimized geometry; E above lowest polymorph = 0.008 eV per atom; formation energy (no corrections) = -1.96 eV/atom
1.0
-1.4029 -2.5531 5.1351
0.1129 -7.2374 -0.1736
5.6687 -1.2196 4.3361
Ca Tb Se
4 1 5
Cartesian
2.0063 -2.4590 2.7262
0.3699 -6.1237 3.8510
2.3696 -8.5563 6.5817
4.0060 -4.8916 5.4569
-0.0016 -0.0029 0.0058
1.0447 -4.8755 1.2621
3.1049 -7.3080 4.0094
3.3312 -6.1398 8.0459
-0.7029 -1.2793 2.5730
1.2710 -3.7073 5.2986